{
  "formula": "Cs2BrN2",
  "functional": "GGA-PBEsol",
  "state": "optimized geometry",
  "lattice": [[8.462, 0.000, 0.000], [0.000, 8.462, 0.000], [0.000, 0.000, 4.000]],
  "species": ["Cs", "Cs", "Cs", "Cs", "Br", "Br", "N", "N", "N", "N"],
  "fractional_positions": [[0.224, 0.276, 0.000], [0.276, 0.776, 0.000], [0.724, 0.224, 0.000], [0.776, 0.724, 0.000], [0.000, 0.000, 0.500], [0.500, 0.500, 0.500], [0.049, 0.549, 0.500], [0.451, 0.049, 0.500], [0.549, 0.951, 0.500], [0.951, 0.451, 0.500]],
  "polymorph_energy_mev_per_atom": 0,
  "dos_at_fermi_per_ev_atom": 0.567
}


{
  "formula": "Cs2BrN2",
  "functional": "GGA-PBEsol",
  "state": "optimized geometry",
  "lattice": [[5.762, 0.000, 0.000], [0.000, 5.762, 0.000], [0.000, 0.000, 8.855]],
  "species": ["Cs", "Cs", "Cs", "Cs", "Br", "Br", "N", "N", "N", "N"],
  "fractional_positions": [[0.000, 0.500, 0.250], [0.000, 0.500, 0.750], [0.500, 0.000, 0.250], [0.500, 0.000, 0.750], [0.000, 0.000, 0.000], [0.500, 0.500, 0.500], [0.000, 0.000, 0.433], [0.000, 0.000, 0.567], [0.500, 0.500, 0.067], [0.500, 0.500, 0.933]],
  "polymorph_energy_mev_per_atom": 17,
  "dos_at_fermi_per_ev_atom": 0.959
}


{
  "formula": "CsS2BrN",
  "functional": "GGA-PBEsol",
  "state": "optimized geometry",
  "lattice": [[5.084, 0.000, 0.000], [0.000, 5.084, 0.000], [0.000, 0.000, 4.680]],
  "species": ["Cs", "S", "S", "Br", "N"],
  "fractional_positions": [[0.000, 0.000, 0.000], [0.000, 0.500, 0.500], [0.500, 0.000, 0.500], [0.500, 0.500, 0.500], [0.500, 0.500, 0.000]],
  "total_energy_ev_per_cell": -15.5,
  "dos_at_fermi_per_ev_atom": 0.582
}


{
  "formula": "CsSr2BrN",
  "functional": "GGA-PBEsol",
  "state": "optimized geometry",
  "lattice": [[5.827, 0.000, 0.000], [0.000, 5.827, 0.000], [0.000, 0.000, 6.603]],
  "species": ["Cs", "Sr", "Sr", "Br", "N"],
  "fractional_positions": [[0.000, 0.000, 0.000], [0.000, 0.500, 0.500], [0.500, 0.000, 0.500], [0.000, 0.000, 0.500], [0.500, 0.500, 0.000]],
  "total_energy_ev_per_cell": -12.4,
  "dos_at_fermi_per_ev_atom": 1.002
}


{
  "formula": "CsNaBr2",
  "functional": "GGA-PBEsol",
  "state": "optimized geometry",
  "lattice": [[8.333, 0.000, 0.000], [0.000, 8.333, 0.000], [0.000, 0.000, 8.724]],
  "species": ["Cs", "Cs", "Cs", "Cs", "Na", "Na", "Na", "Na", "Br", "Br", "Br", "Br", "Br", "Br", "Br", "Br"],
  "fractional_positions": [[0.000, 0.000, 0.000], [0.000, 0.500, 0.250], [0.500, 0.000, 0.750], [0.500, 0.500, 0.500], [0.000, 0.000, 0.500], [0.000, 0.500, 0.750], [0.500, 0.000, 0.250], [0.500, 0.500, 0.000], [0.185, 0.250, 0.625], [0.250, 0.685, 0.875], [0.250, 0.815, 0.375], [0.315, 0.250, 0.125], [0.685, 0.750, 0.125], [0.750, 0.185, 0.375], [0.750, 0.315, 0.875], [0.815, 0.750, 0.625]],
  "total_energy_ev_per_cell": -49.7,
  "dos_at_fermi_per_ev_atom": 0.000
}


{
  "formula": "Cs2NaNdBr6",
  "functional": "GGA-PBEsol",
  "state": "optimized geometry",
  "lattice": [[0.000, 5.693, 5.693], [5.693, 0.000, 5.693], [5.693, 5.693, 0.000]],
  "species": ["Cs", "Cs", "Na", "Nd", "Br", "Br", "Br", "Br", "Br", "Br"],
  "fractional_positions": [[0.250, 0.250, 0.250], [0.750, 0.750, 0.750], [0.000, 0.000, 0.000], [0.500, 0.500, 0.500], [0.251, 0.251, 0.749], [0.251, 0.749, 0.251], [0.251, 0.749, 0.749], [0.749, 0.251, 0.251], [0.749, 0.251, 0.749], [0.749, 0.749, 0.251]],
  "total_energy_ev_per_cell": -37.7,
  "dos_at_fermi_per_ev_atom": 0.000
}